Entry 1:
BaPm2Rh9: relaxed, GGA-PBE.

```
BaPm2Rh9
1.0
-3.2672 1.2290 -4.1147
1.3946 -1.3253 -5.0413
-4.6951 -7.7934 -2.1378
Ba Pm Rh
1 2 9
Cartesian
0.0000 0.0000 0.0000
-3.5662 -3.3253 -8.7757
-3.0014 -4.5645 -2.5181
-5.9367 -7.8447 -8.2433
-0.6310 -0.0450 -3.0505
-3.2838 -3.9449 -5.6469
-1.9550 -1.9900 -4.3503
-3.5876 -1.3759 -6.4063
-1.2581 -2.6523 -6.8693
-4.6126 -5.8997 -6.9436
-5.3095 -5.2375 -4.4245
-2.9801 -6.5138 -4.8875
```

Values from the calculation:
As for the symmetry: No. 166.

---

Entry 2:
Mn2InPt: relaxed, GGA-PBE.

```
Mn2InPt
1.0
3.7641 0.0000 0.0000
0.0000 2.9537 -0.0104
0.0000 2.9498 5.8817
In Mn Pt
1 2 1
Cartesian
1.8821 4.4276 4.4035
0.0000 2.9555 0.0931
0.0000 2.9500 2.8322
1.8821 1.4759 1.4678
```

Values from the calculation:
As for the symmetry: No. 10.

---

Entry 3:
Tl2Sn9Au3: relaxed, GGA-PBE.

```
Tl2Sn9Au3
1.0
-6.6658 6.0287 -1.1819
0.1948 -4.0000 8.1324
10.0676 4.9523 1.1440
Tl Sn Au
4 18 6
Cartesian
5.4341 4.7402 2.4573
-1.8375 2.2408 5.6372
1.0257 7.3669 4.3700
2.5710 -0.3860 3.7246
4.4683 2.7611 7.9614
-0.8717 4.2198 0.1331
3.1000 5.0594 6.0168
0.4966 1.9215 2.0778
6.4928 4.4367 5.7662
-2.8961 2.5442 2.3283
4.5010 2.3100 4.5326
-0.9044 4.6709 3.5619
1.7286 8.4936 0.8554
1.8681 -1.5127 7.2392
8.5918 1.6021 8.7904
-4.9952 5.3788 -0.6959
2.1705 5.2172 1.7571
1.4261 1.7637 6.3375
-0.2799 5.2521 6.6734
3.8765 1.7288 1.4211
3.9717 7.7226 3.1270
-0.3750 -0.7417 4.9676
-3.3329 3.0143 -0.5909
1.7983 3.4905 4.0473
-0.3743 6.6903 1.5457
3.9709 0.2906 6.5488
8.4732 4.9029 3.5209
-4.8766 2.0780 4.5737
```

Values from the calculation:
As for the symmetry: No. 15.

---

Electronic total energy (eV per atom)
-6.820, -6.841, -3.631
Formation energy from the elements (eV/f.u.)
-4.3, -0.2, -0.2